Entry P
Here is CuBiPd3 after structural relaxation from Alexandria. Energies are from PBE.

Geometry as CIF:
```
data_CuBiPd3
_space_group_name_H-M_alt 'P m -3 m'
_space_group_IT_number 221
_space_group_name_Hall '-P 4 2 3'
_cell_length_a 4.646
_cell_length_b 4.646
_cell_length_c 4.646
_cell_angle_alpha 90.00
_cell_angle_beta 90.00
_cell_angle_gamma 90.00
loop_
_atom_site_label
_atom_site_type_symbol
_atom_site_fract_x
_atom_site_fract_y
_atom_site_fract_z
Cu1 Cu 0.000 0.000 0.000
Bi1 Bi 0.500 0.500 0.500
Pd1 Pd 0.000 0.000 0.500
```

For the volume, the calculation gives 20.1 Å³/atom. As for the crystal system: cubic.

---

Entry Q
Here is CuBiPd3 after structural relaxation from Alexandria. Energies are from PBE.

Geometry as CIF:
```
data_CuBiPd3
_space_group_name_H-M_alt 'P m -3 m'
_space_group_IT_number 221
_space_group_name_Hall '-P 4 2 3'
_cell_length_a 5.047
_cell_length_b 5.047
_cell_length_c 5.047
_cell_angle_alpha 90.00
_cell_angle_beta 90.00
_cell_angle_gamma 90.00
loop_
_atom_site_label
_atom_site_type_symbol
_atom_site_fract_x
_atom_site_fract_y
_atom_site_fract_z
Cu1 Cu 0.000 0.000 0.000
Bi1 Bi 0.500 0.500 0.500
Pd1 Pd 0.000 0.500 0.500
```

For the volume, the calculation gives 25.7 Å³/atom. As for the crystal system: cubic.

---

Relative energies, unit meV/atom: entry P 0; entry Q 515

---

Entry P
Here is CuBiPd after structural relaxation from Alexandria. Energies are from PBE.

Geometry as CIF:
```
data_CuBiPd
_space_group_name_H-M_alt 'I 4 m m'
_space_group_IT_number 107
_space_group_name_Hall 'I 4 -2'
_cell_length_a 3.570
_cell_length_b 3.570
_cell_length_c 8.708
_cell_angle_alpha 90.00
_cell_angle_beta 90.00
_cell_angle_gamma 90.00
loop_
_atom_site_label
_atom_site_type_symbol
_atom_site_fract_x
_atom_site_fract_y
_atom_site_fract_z
Cu1 Cu 0.000 0.000 0.000
Bi1 Bi 0.000 0.000 0.321
Pd1 Pd 0.000 0.000 0.647
```

For the volume, the calculation gives 18.5 Å³/atom. As for the crystal system: tetragonal.

---

Entry Q
Here is CuBiPd after structural relaxation from Alexandria. Energies are from PBE.

Geometry as CIF:
```
data_CuBiPd
_space_group_name_H-M_alt 'F -4 3 m'
_space_group_IT_number 216
_space_group_name_Hall 'F -4 2 3'
_cell_length_a 6.315
_cell_length_b 6.315
_cell_length_c 6.315
_cell_angle_alpha 90.00
_cell_angle_beta 90.00
_cell_angle_gamma 90.00
loop_
_atom_site_label
_atom_site_type_symbol
_atom_site_fract_x
_atom_site_fract_y
_atom_site_fract_z
Cu1 Cu 0.000 0.000 0.000
Bi1 Bi 0.000 0.000 0.500
Pd1 Pd 0.250 0.250 0.250
```

For the volume, the calculation gives 21.0 Å³/atom. As for the crystal system: cubic.

---

Relative energies, unit meV/atom: entry P 0; entry Q 26

---

Entry P
Here is CuBiPd after structural relaxation from Alexandria. Energies are from PBE.

Geometry as CIF:
```
data_CuBiPd
_space_group_name_H-M_alt 'F d d d'
_space_group_IT_number 70
_cell_length_a 5.901
_cell_length_b 12.400
_cell_length_c 13.363
_cell_angle_alpha 90.00
_cell_angle_beta 90.00
_cell_angle_gamma 90.00
loop_
_space_group_symop_operation_xyz
'x,y,z'
'-x,-y,-z'
'-x+1/4,-y+1/4,z'
'x+1/4,y+1/4,-z'
'x,-y+1/4,-z+1/4'
'-x,y+1/4,z+1/4'
'-x+1/4,y,-z+1/4'
'x+1/4,-y,z+1/4'
'x,y+1/2,z+1/2'
'-x,-y+1/2,-z+1/2'
'-x+1/4,-y+3/4,z+1/2'
'x+1/4,y+3/4,-z+1/2'
'x,-y+3/4,-z+3/4'
'-x,y+3/4,z+3/4'
'-x+1/4,y+1/2,-z+3/4'
'x+1/4,-y+1/2,z+3/4'
'x+1/2,y,z+1/2'
'-x+1/2,-y,-z+1/2'
'-x+3/4,-y+1/4,z+1/2'
'x+3/4,y+1/4,-z+1/2'
'x+1/2,-y+1/4,-z+3/4'
'-x+1/2,y+1/4,z+3/4'
'-x+3/4,y,-z+3/4'
'x+3/4,-y,z+3/4'
'x+1/2,y+1/2,z'
'-x+1/2,-y+1/2,-z'
'-x+3/4,-y+3/4,z'
'x+3/4,y+3/4,-z'
'x+1/2,-y+3/4,-z+1/4'
'-x+1/2,y+3/4,z+1/4'
'-x+3/4,y+1/2,-z+1/4'
'x+3/4,-y+1/2,z+1/4'
loop_
_atom_site_label
_atom_site_type_symbol
_atom_site_fract_x
_atom_site_fract_y
_atom_site_fract_z
Cu1 Cu 0.125 0.125 0.033
Bi1 Bi 0.000 0.000 0.500
Pd1 Pd 0.125 0.317 0.125
```

For the volume, the calculation gives 20.4 Å³/atom. As for the crystal system: orthorhombic.

---

Entry Q
Here is CuBiPd after structural relaxation from Alexandria. Energies are from PBE.

Geometry as CIF:
```
data_CuBiPd
_space_group_name_H-M_alt 'P -1'
_space_group_IT_number 2
_cell_length_a 3.668
_cell_length_b 4.533
_cell_length_c 8.206
_cell_angle_alpha 78.89
_cell_angle_beta 89.19
_cell_angle_gamma 66.29
loop_
_space_group_symop_operation_xyz
'x,y,z'
'-x,-y,-z'
loop_
_atom_site_label
_atom_site_type_symbol
_atom_site_fract_x
_atom_site_fract_y
_atom_site_fract_z
Cu1 Cu 0.160 0.177 0.050
Bi1 Bi 0.193 0.132 0.672
Pd1 Pd 0.479 0.532 0.169
```

For the volume, the calculation gives 20.4 Å³/atom. As for the crystal system: triclinic.

---

Relative energies, unit meV/atom: entry P 177; entry Q 0

---

Entry P
Here is Cu2Bi2Pd after structural relaxation from Alexandria. Energies are from PBE.

Geometry as CIF:
```
data_Cu2Bi2Pd
_space_group_name_H-M_alt 'P 4/m b m'
_space_group_IT_number 127
_space_group_name_Hall '-P 4 2ab'
_cell_length_a 6.993
_cell_length_b 6.993
_cell_length_c 4.025
_cell_angle_alpha 90.00
_cell_angle_beta 90.00
_cell_angle_gamma 90.00
loop_
_atom_site_label
_atom_site_type_symbol
_atom_site_fract_x
_atom_site_fract_y
_atom_site_fract_z
Cu1 Cu 0.126 0.374 0.000
Bi1 Bi 0.179 0.679 0.500
Pd1 Pd 0.000 0.000 0.000
```

For the volume, the calculation gives 19.7 Å³/atom. As for the crystal system: tetragonal.

---

Entry Q
Here is Cu2Bi2Pd after structural relaxation from Alexandria. Energies are from PBE.

Geometry as CIF:
```
data_Cu2Bi2Pd
_space_group_name_H-M_alt 'P 4/m b m'
_space_group_IT_number 127
_space_group_name_Hall '-P 4 2ab'
_cell_length_a 7.613
_cell_length_b 7.613
_cell_length_c 3.632
_cell_angle_alpha 90.00
_cell_angle_beta 90.00
_cell_angle_gamma 90.00
loop_
_atom_site_label
_atom_site_type_symbol
_atom_site_fract_x
_atom_site_fract_y
_atom_site_fract_z
Cu1 Cu 0.117 0.383 0.000
Bi1 Bi 0.179 0.679 0.500
Pd1 Pd 0.000 0.000 0.500
```

For the volume, the calculation gives 21.1 Å³/atom. As for the crystal system: tetragonal.

---

Entry R
Here is Cu2Bi2Pd after structural relaxation from Alexandria. Energies are from PBE.

Geometry as CIF:
```
data_Cu2Bi2Pd
_space_group_name_H-M_alt 'I 4/m m m'
_space_group_IT_number 139
_space_group_name_Hall '-I 4 2'
_cell_length_a 3.458
_cell_length_b 3.458
_cell_length_c 16.928
_cell_angle_alpha 90.00
_cell_angle_beta 90.00
_cell_angle_gamma 90.00
loop_
_atom_site_label
_atom_site_type_symbol
_atom_site_fract_x
_atom_site_fract_y
_atom_site_fract_z
Cu1 Cu 0.000 0.500 0.250
Bi1 Bi 0.000 0.000 0.107
Pd1 Pd 0.000 0.000 0.500
```

For the volume, the calculation gives 20.2 Å³/atom. As for the crystal system: tetragonal.

---

Relative energies, unit meV/atom: entry P 0; entry Q 163; entry R 22

---

Entry P
Here is CuBi2Pd2 after structural relaxation from Alexandria. Energies are from PBE.

Geometry as CIF:
```
data_CuBi2Pd2
_space_group_name_H-M_alt 'P 4/m b m'
_space_group_IT_number 127
_space_group_name_Hall '-P 4 2ab'
_cell_length_a 7.742
_cell_length_b 7.742
_cell_length_c 3.611
_cell_angle_alpha 90.00
_cell_angle_beta 90.00
_cell_angle_gamma 90.00
loop_
_atom_site_label
_atom_site_type_symbol
_atom_site_fract_x
_atom_site_fract_y
_atom_site_fract_z
Cu1 Cu 0.000 0.000 0.000
Bi1 Bi 0.168 0.332 0.000
Pd1 Pd 0.130 0.630 0.500
```

For the volume, the calculation gives 21.6 Å³/atom. As for the crystal system: tetragonal.

---

Entry Q
Here is CuBi2Pd2 after structural relaxation from Alexandria. Energies are from PBE.

Geometry as CIF:
```
data_CuBi2Pd2
_space_group_name_H-M_alt 'P 4/m b m'
_space_group_IT_number 127
_space_group_name_Hall '-P 4 2ab'
_cell_length_a 7.071
_cell_length_b 7.071
_cell_length_c 4.146
_cell_angle_alpha 90.00
_cell_angle_beta 90.00
_cell_angle_gamma 90.00
loop_
_atom_site_label
_atom_site_type_symbol
_atom_site_fract_x
_atom_site_fract_y
_atom_site_fract_z
Cu1 Cu 0.000 0.000 0.000
Bi1 Bi 0.167 0.333 0.500
Pd1 Pd 0.142 0.642 0.000
```

For the volume, the calculation gives 20.7 Å³/atom. As for the crystal system: tetragonal.

---

Relative energies, unit meV/atom: entry P 132; entry Q 0

---

Entry P
Here is Cu6BiPd12 after structural relaxation from Alexandria. Energies are from PBE.

Geometry as CIF:
```
data_Cu6BiPd12
_space_group_name_H-M_alt 'R -3'
_space_group_IT_number 148
_space_group_name_Hall '-R 3'
_cell_length_a 12.0088
_cell_length_b 12.0088
_cell_length_c 6.8194
_cell_angle_alpha 90.00
_cell_angle_beta 90.00
_cell_angle_gamma 120.00
loop_
_atom_site_label
_atom_site_type_symbol
_atom_site_fract_x
_atom_site_fract_y
_atom_site_fract_z
Cu1 Cu 0.0333 0.7538 0.3283
Bi1 Bi 0.0000 0.0000 0.0000
Pd1 Pd 0.0114 0.8687 0.6596
Pd2 Pd 0.0632 0.5038 0.6720
```

For the volume, the calculation gives 14.9 Å³/atom. As for the crystal system: trigonal.

---

Entry Q
Here is Cu6BiPd12 after structural relaxation from Alexandria. Energies are from PBE.

Geometry as CIF:
```
data_Cu6BiPd12
_space_group_name_H-M_alt 'R -3 m'
_space_group_IT_number 166
_space_group_name_Hall '-R 3 2"'
_cell_length_a 11.6122
_cell_length_b 11.6122
_cell_length_c 7.9682
_cell_angle_alpha 90.00
_cell_angle_beta 90.00
_cell_angle_gamma 120.00
loop_
_atom_site_label
_atom_site_type_symbol
_atom_site_fract_x
_atom_site_fract_y
_atom_site_fract_z
Cu1 Cu 0.0675 0.5337 0.2348
Bi1 Bi 0.0000 0.0000 0.0000
Pd1 Pd 0.0000 0.3813 0.5000
Pd2 Pd 0.0816 0.1633 0.2765
```

For the volume, the calculation gives 16.3 Å³/atom. As for the crystal system: trigonal.

---

Relative energies, unit meV/atom: entry P 0; entry Q 211